[1]
Entry from Alexandria via LeMat-Bulk: a PBEsol-optimized structure of Co2RhPb (SCAN).

Unit cell a=8.6331 b=2.9305 c=4.7100 alpha=90.00 beta=101.99 gamma=90.00
Space group C2/m (No. 12)
One atom of each set of equivalent atoms:
Co (0.2427, 0.0000, 0.2025) x4
Rh (0.0000, 0.5000, 0.0000) x2
Pb (0.0000, 0.0000, 0.5000) x2

Calculated values
ΔE_f	0.43	eV per atom
spin magnetization	7.39	Bohr magnetons per cell
volume	14.6	A^3/atom

***

[2]
Entry from Alexandria via LeMat-Bulk: a PBEsol-optimized structure of CoRhPb2 (SCAN).

Unit cell a=3.1714 b=3.1714 c=7.8463 alpha=90.00 beta=90.00 gamma=90.00
Space group P4mm (No. 99)
One atom of each set of equivalent atoms:
Co (0.0000, 0.0000, 0.0000) x1
Rh (0.5000, 0.5000, 0.8478) x1
Pb (0.0000, 0.0000, 0.6115) x1
Pb (0.5000, 0.5000, 0.2244) x1

Calculated values
ΔE_f	0.23	eV per atom
spin magnetization	2.36	Bohr magnetons per cell
volume	19.7	A^3/atom

***

[3]
Entry from Alexandria via LeMat-Bulk: a PBEsol-optimized structure of Co3RhPb (SCAN).

Unit cell a=4.5040 b=4.5040 c=4.5040 alpha=90.00 beta=90.00 gamma=90.00
Space group Pm-3m (No. 221)
One atom of each set of equivalent atoms:
Co (0.0000, 0.0000, 0.5000) x3
Rh (0.0000, 0.0000, 0.0000) x1
Pb (0.5000, 0.5000, 0.5000) x1

Calculated values
ΔE_f	1.06	eV per atom
spin magnetization	7.15	Bohr magnetons per cell
volume	18.3	A^3/atom

***

[4]
Entry from Alexandria via LeMat-Bulk: a PBEsol-optimized structure of CoRhPb2 (SCAN).

Unit cell a=6.5729 b=6.5729 c=6.5729 alpha=90.00 beta=90.00 gamma=90.00
Space group Fm-3m (No. 225)
One atom of each set of equivalent atoms:
Co (0.0000, 0.0000, 0.0000) x4
Rh (0.0000, 0.0000, 0.5000) x4
Pb (0.2500, 0.2500, 0.2500) x8

Calculated values
ΔE_f	0.35	eV per atom
spin magnetization	7.76	Bohr magnetons per cell
volume	17.7	A^3/atom

***

[5]
Entry from Alexandria via LeMat-Bulk: a PBEsol-optimized structure of CoRhPb2 (SCAN).

Unit cell a=4.3735 b=3.2682 c=5.4562 alpha=90.00 beta=110.46 gamma=90.00
Space group P2/m (No. 10)
One atom of each set of equivalent atoms:
Co (0.0000, 0.0000, 0.0000) x1
Rh (0.5000, 0.5000, 0.5000) x1
Pb (0.0000, 0.0000, 0.5000) x1
Pb (0.5000, 0.5000, 0.0000) x1

Calculated values
ΔE_f	0.43	eV per atom
spin magnetization	1.34	Bohr magnetons per cell
volume	18.3	A^3/atom

***

[6]
Entry from Alexandria via LeMat-Bulk: a PBEsol-optimized structure of CoRh2Pb (SCAN).

Unit cell a=5.7020 b=7.0948 c=2.9763 alpha=90.00 beta=90.00 gamma=90.00
Space group Cmmm (No. 65)
One atom of each set of equivalent atoms:
Co (0.0000, 0.0000, 0.0000) x2
Rh (0.2500, 0.2500, 0.5000) x4
Pb (0.0000, 0.5000, 0.0000) x2

Calculated values
ΔE_f	0.20	eV per atom
spin magnetization	4.91	Bohr magnetons per cell
volume	15.1	A^3/atom

***

[7]
Entry from Alexandria via LeMat-Bulk: a PBEsol-optimized structure of CoRuPb (SCAN).

Unit cell a=3.0013 b=3.5929 c=8.7175 alpha=90.00 beta=90.00 gamma=90.00
Space group Imm2 (No. 44)
One atom of each set of equivalent atoms:
Co (0.0000, 0.0000, 0.0000) x2
Ru (0.0000, 0.0000, 0.3654) x2
Pb (0.0000, 0.0000, 0.6807) x2

Calculated values
ΔE_f	0.57	eV per atom
spin magnetization	6.08	Bohr magnetons per cell
volume	15.7	A^3/atom

***

[8]
Entry from Alexandria via LeMat-Bulk: a PBEsol-optimized structure of CoPb3S (SCAN).

Unit cell a=4.9526 b=4.9526 c=4.9526 alpha=90.00 beta=90.00 gamma=90.00
Space group Pm-3m (No. 221)
One atom of each set of equivalent atoms:
Co (0.0000, 0.0000, 0.0000) x1
Pb (0.0000, 0.0000, 0.5000) x3
S (0.5000, 0.5000, 0.5000) x1

Calculated values
spin magnetization	0.00	Bohr magnetons per cell
volume	24.3	A^3/atom
DFT total energy	-50.7657	eV per atom

***

[9]
Entry from Alexandria via LeMat-Bulk: a PBEsol-optimized structure of YCoPbS2 (SCAN).

Unit cell a=5.0339 b=5.0339 c=6.0074 alpha=90.00 beta=90.00 gamma=90.00
Space group P4/mmm (No. 123)
One atom of each set of equivalent atoms:
Y (0.0000, 0.0000, 0.0000) x1
Co (0.5000, 0.5000, 0.5000) x1
Pb (0.0000, 0.0000, 0.5000) x1
S (0.0000, 0.5000, 0.0000) x2

Calculated values
spin magnetization	2.74	Bohr magnetons per cell
volume	30.4	A^3/atom
DFT total energy	-27.7730	eV per atom

***

[10]
Entry from Alexandria via LeMat-Bulk: a PBEsol-optimized structure of Co2SbPb (SCAN).

Unit cell a=4.5278 b=4.5278 c=3.2024 alpha=90.00 beta=90.00 gamma=90.00
Space group P4/mmm (No. 123)
One atom of each set of equivalent atoms:
Co (0.0000, 0.5000, 0.0000) x2
Sb (0.0000, 0.0000, 0.5000) x1
Pb (0.5000, 0.5000, 0.5000) x1

Calculated values
spin magnetization	2.60	Bohr magnetons per cell
volume	16.4	A^3/atom
DFT total energy	-36.3497	eV per atom

***

[11]
Entry from Alexandria via LeMat-Bulk: a PBEsol-optimized structure of CoSb3Pb (SCAN).

Unit cell a=4.9660 b=4.9660 c=4.9660 alpha=90.00 beta=90.00 gamma=90.00
Space group Pm-3m (No. 221)
One atom of each set of equivalent atoms:
Co (0.0000, 0.0000, 0.0000) x1
Sb (0.0000, 0.0000, 0.5000) x3
Pb (0.5000, 0.5000, 0.5000) x1

Calculated values
spin magnetization	1.16	Bohr magnetons per cell
volume	24.5	A^3/atom
DFT total energy	-40.6106	eV per atom

***

[12]
Entry from Alexandria via LeMat-Bulk: a PBEsol-optimized structure of Co2SbPb (SCAN).

Unit cell a=3.5629 b=3.5629 c=5.2296 alpha=90.00 beta=90.00 gamma=90.00
Space group P4mm (No. 99)
One atom of each set of equivalent atoms:
Co (0.0000, 0.0000, 0.0000) x1
Co (0.5000, 0.5000, 0.3460) x1
Sb (0.5000, 0.5000, 0.8713) x1
Pb (0.0000, 0.0000, 0.4886) x1

Calculated values
spin magnetization	0.85	Bohr magnetons per cell
volume	16.6	A^3/atom
DFT total energy	-36.4546	eV per atom

***

- What is the spin magnetization in the eleventh record?
  1.16 Bohr magnetons per cell

***

Please write out number 8 again, unchanged.
Entry from Alexandria via LeMat-Bulk: a PBEsol-optimized structure of CoPb3S (SCAN).

Unit cell a=4.9526 b=4.9526 c=4.9526 alpha=90.00 beta=90.00 gamma=90.00
Space group Pm-3m (No. 221)
One atom of each set of equivalent atoms:
Co (0.0000, 0.0000, 0.0000) x1
Pb (0.0000, 0.0000, 0.5000) x3
S (0.5000, 0.5000, 0.5000) x1

Calculated values
spin magnetization	0.00	Bohr magnetons per cell
volume	24.3	A^3/atom
DFT total energy	-50.7657	eV per atom

***

- Among the records above, which one has the highest volume?
  YCoPbS2

***

- Which of these has the lowest volume?
  Co2RhPb